Here is a relaxed structure of TbLuMgPd from the Alexandria database. Energies are from PBE.

POSCAR file:
```
TbLuMgPd
1.0
5.0902 0.0000 0.0000
2.5451 4.4082 0.0000
2.5451 1.4694 4.1561
Lu Tb Pd Mg
1 1 1 1
Direct
0.0000 0.0000 0.0000 Lu
0.5000 0.5000 0.5000 Tb
0.7500 0.7500 0.7500 Pd
0.2500 0.2500 0.2500 Mg
```

Results
Symmetry = No. 216
Energy relative to the elements = -0.41 eV per atom


Here is a relaxed structure of Nd2Sm4Ge3O2 from the Alexandria database. Energies are from PBE.

POSCAR file:
```
Nd2Sm4Ge3O2
1.0
4.6678 0.0000 0.0000
0.0000 4.6678 0.0000
-2.3339 -2.3339 12.2626
Sm Nd O Ge
4 2 2 3
Direct
0.9202 0.4202 0.8404 Sm
0.0798 0.5798 0.1596 Sm
0.5798 0.0798 0.1596 Sm
0.4202 0.9202 0.8404 Sm
0.3019 0.3019 0.6037 Nd
0.6981 0.6981 0.3963 Nd
0.4020 0.4020 0.8041 O
0.5980 0.5980 0.1959 O
0.1747 0.1747 0.3495 Ge
0.0000 0.0000 0.0000 Ge
0.8253 0.8253 0.6505 Ge
```

Results
Symmetry = No. 139
Raw formation energy = -1.52 eV per atom


Energy
In order: -4.39, -6.26
Unit: eV per atom